(1)
Entry from the Alexandria database: Mg2HPt after structural relaxation (PBE-GGA). Values from VASP.

Computed properties:
SG ... No. 123

```
&SYSTEM
  ibrav = 0, nat = 4, ntyp = 3
/
ATOMIC_SPECIES
Mg 24.30 Mg.upf
Pt 195.08 Pt.upf
H 1.01 H.upf
CELL_PARAMETERS angstrom
2.9314 0.0000 0.0000
0.0000 2.9314 0.0000
0.0000 0.0000 6.6858
ATOMIC_POSITIONS crystal
Mg 0.0000 0.0000 0.7681
Mg 0.0000 0.0000 0.2319
Pt 0.5000 0.5000 0.5000
H 0.5000 0.5000 0.0000
```

***

(2)
Entry from the Alexandria database: Li8Au3 after structural relaxation (PBE-GGA). Values from VASP.

Computed properties:
Formation enthalpy at 0 K ... -417 meV per atom
SG ... No. 12

```
&SYSTEM
  ibrav = 0, nat = 11, ntyp = 2
/
ATOMIC_SPECIES
Li 6.94 Li.upf
Au 196.97 Au.upf
CELL_PARAMETERS angstrom
4.0938 0.0000 0.0000
-2.0469 4.1456 -0.9991
0.0000 -0.5378 10.2237
ATOMIC_POSITIONS crystal
Li 0.8263 0.6527 0.7277
Li 0.2749 0.5497 0.9082
Li 0.1737 0.3473 0.2723
Li 0.5510 0.1020 0.8184
Li 0.7251 0.4503 0.0918
Li 0.6291 0.2582 0.4584
Li 0.3709 0.7418 0.5416
Li 0.4490 0.8980 0.1816
Au 0.1038 0.2075 0.6412
Au 0.0000 0.0000 0.0000
Au 0.8962 0.7925 0.3588
```

***

| no. | polymorph energy (0 for the lowest one) (eV per atom) | D(E_F) (states/eV/cell) |
| --- | --- | --- |
| 1 | 0.038 | 1.58 |
| 2 | 0.000 | 2.99 |